Entry 1:
## PtAu7 (PBEsol)

Data for crystalline PtAu7 at its relaxed geometry.

The symmetry is No. 225.

Unit cell a=5.7325 b=5.7325 c=5.7325 alpha=60.00 beta=60.00 gamma=60.00
With the nearest neighbours (Å) after each atom.
Sites, in units of the cell vectors:
Au 0.5000 0.5000 0.5000  12 Au 2.87
Au 0.5000 0.5000 0.0000  2 Pt 2.87, 10 Au 2.87
Au 0.0000 0.5000 0.0000  2 Pt 2.87, 10 Au 2.87
Au 0.5000 0.0000 0.0000  10 Au 2.87, 2 Pt 2.87
Au 0.5000 0.0000 0.5000  10 Au 2.87, 2 Pt 2.87
Au 0.0000 0.5000 0.5000  10 Au 2.87, 2 Pt 2.87
Pt 0.0000 0.0000 0.0000  12 Au 2.87
Au 0.0000 0.0000 0.5000  10 Au 2.87, 2 Pt 2.87


Entry 2:
## PtAu5 (PBEsol)

Data for crystalline PtAu5 at its relaxed geometry.

The symmetry is No. 8. The calculation puts the distance to the lowest polymorph of the same formula at 0.0 kJ/mol of formula units.

Unit cell a=2.8527 b=5.5291 c=6.8401 alpha=106.54 beta=90.00 gamma=104.95
With the nearest neighbours (Å) after each atom.
Sites, in units of the cell vectors:
Au 0.6674 0.3348 0.3332  11 Au 2.82-2.91, 1 Pt 2.89
Au 0.0549 0.1098 0.6115  2 Pt 2.83, 10 Au 2.85-2.91
Au 0.0030 0.0060 0.0003  9 Au 2.82-2.90, 3 Pt 2.86-2.91
Au 0.3872 0.7744 0.2735  2 Pt 2.81, 10 Au 2.85-2.95
Au 0.3322 0.6643 0.6716  10 Au 2.83-2.95, 2 Pt 2.86
Pt 0.7221 0.4443 0.9432  10 Au 2.81-2.91, 2 Pt 2.85


Entry 3:
## PtAu5 (PBEsol)

Data for crystalline PtAu5 at its relaxed geometry.

The symmetry is No. 216. The calculation puts the distance to the lowest polymorph of the same formula at 189.0 kJ/mol of formula units.

Unit cell a=5.3190 b=5.3190 c=5.3190 alpha=60.00 beta=60.00 gamma=60.00
With the nearest neighbours (Å) after each atom.
Sites, in units of the cell vectors:
Au 0.3750 0.3750 0.3750  6 Au 2.66
Pt 0.0000 0.0000 0.0000  16 Au 3.12-3.26
Au 0.3750 0.8751 0.3750  6 Au 2.66
Au 0.8751 0.3750 0.3750  6 Au 2.66
Au 0.7500 0.7500 0.7500  12 Au 3.12, 4 Pt 3.26
Au 0.3750 0.3750 0.8751  6 Au 2.66


Entry 4:
## RbTcPt2Au (PBEsol)

Data for crystalline RbTcPt2Au at its relaxed geometry.

The symmetry is No. 123.

Unit cell a=4.9305 b=5.0664 c=5.0664 alpha=90.00 beta=90.00 gamma=90.00
With the nearest neighbours (Å) after each atom.
Sites, in units of the cell vectors:
Pt 0.0000 0.0000 0.5000  2 Au 2.53
Pt 0.0000 0.5000 0.0000  2 Au 2.53
Rb 0.5000 0.5000 0.5000  8 Pt 3.53, 4 Tc 3.58
Au 0.0000 0.0000 0.0000  2 Tc 2.47, 4 Pt 2.53
Tc 0.5000 0.0000 0.0000  2 Au 2.47


Entry 5:
## RbTlPt2Au (PBEsol)

Data for crystalline RbTlPt2Au at its relaxed geometry.

The symmetry is No. 123.

Unit cell a=5.0270 b=5.0270 c=6.0650 alpha=90.00 beta=90.00 gamma=90.00
With the nearest neighbours (Å) after each atom.
Sites, in units of the cell vectors:
Tl 0.0000 0.0000 0.0000  4 Pt 2.51
Pt 0.5000 0.0000 0.0000  2 Tl 2.51
Au 0.5000 0.5000 0.5000  4 Rb 3.55, 8 Pt 3.94
Pt 0.0000 0.5000 0.0000  2 Tl 2.51
Rb 0.0000 0.0000 0.5000  2 Tl 3.03


Entry 6:
## RePtAu3 (PBEsol)

Data for crystalline RePtAu3 at its relaxed geometry.

The symmetry is No. 221.

Unit cell a=4.9258 b=4.9258 c=4.9258 alpha=90.00 beta=90.00 gamma=90.00
With the nearest neighbours (Å) after each atom.
Sites, in units of the cell vectors:
Pt 0.0000 0.0000 0.0000  6 Au 2.46
Au 0.0000 0.0000 0.5000  2 Pt 2.46
Re 0.5000 0.5000 0.5000  12 Au 3.48
Au 0.5000 0.0000 0.0000  2 Pt 2.46
Au 0.0000 0.5000 0.0000  2 Pt 2.46


Entry 7:
## RePt4Au (PBEsol)

Data for crystalline RePt4Au at its relaxed geometry.

The symmetry is No. 216.

Unit cell a=5.1566 b=5.1566 c=5.1566 alpha=60.00 beta=60.00 gamma=60.00
With the nearest neighbours (Å) after each atom.
Sites, in units of the cell vectors:
Pt 0.6248 0.6248 0.1256  6 Pt 2.57-2.58
Re 0.2500 0.2500 0.2500  12 Pt 3.02, 4 Au 3.16
Au 0.0000 0.0000 0.0000  12 Pt 3.02, 4 Re 3.16
Pt 0.6248 0.1256 0.6248  6 Pt 2.57-2.58
Pt 0.6248 0.6248 0.6248  6 Pt 2.57-2.58
Pt 0.1256 0.6248 0.6248  6 Pt 2.57-2.58


Entry 8:
## RePt2Au (PBEsol)

Data for crystalline RePt2Au at its relaxed geometry.

The symmetry is No. 166. The calculation puts the distance to the lowest polymorph of the same formula at 29.3 kJ/mol of formula units.

Unit cell a=2.7783 b=2.7783 c=9.2805 alpha=81.39 beta=81.39 gamma=60.00
With the nearest neighbours (Å) after each atom.
Sites, in units of the cell vectors:
Re 0.5000 0.5000 0.5000  6 Pt 2.70, 6 Re 2.78
Pt 0.7542 0.7542 0.7375  3 Re 2.70, 6 Pt 2.78, 3 Au 2.89
Au 0.0000 0.0000 0.0000  6 Au 2.78, 6 Pt 2.89
Pt 0.2458 0.2458 0.2625  3 Re 2.70, 6 Pt 2.78, 3 Au 2.89


Number 1: total moment 0.0 μB/f.u., formation energy from the elements 0.01 eV/atom. Number 2: total moment 0.0 μB/f.u., formation energy from the elements 0.03 eV/atom. Number 3: total moment 0.0 μB/f.u., formation energy from the elements 0.36 eV/atom. Number 4: total moment 3.6 μB/f.u., formation energy from the elements 1.41 eV/atom. Number 5: total moment 0.0 μB/f.u., formation energy from the elements 1.13 eV/atom. Number 6: total moment 5.0 μB/f.u., formation energy from the elements 1.94 eV/atom. Number 7: total moment 2.4 μB/f.u., formation energy from the elements 0.53 eV/atom. Number 8: total moment 0.0 μB/f.u., formation energy from the elements -0.02 eV/atom.